Compound: K2GaOsI
Source: the Alexandria database
Functional: meta-GGA SCAN
Structure: PBEsol geometry

CIF file:
```
data_K2GaOsI
_chemical_formula_sum 'K2 Ga1 Os1 I1'
_cell_length_a 6.3020
_cell_length_b 6.3020
_cell_length_c 4.6412
_cell_angle_alpha 90.00
_cell_angle_beta 90.00
_cell_angle_gamma 90.00
_space_group_name_H-M_alt 'P 1'
_space_group_IT_number 1
loop_
_space_group_symop_operation_xyz
'x,y,z'
loop_
_atom_site_label
_atom_site_type_symbol
_atom_site_fract_x
_atom_site_fract_y
_atom_site_fract_z
K1 K 0.0000 0.5000 0.0000
K2 K 0.5000 0.0000 0.0000
Ga1 Ga 0.0000 0.0000 0.0000
Os1 Os 0.0000 0.0000 0.5000
I1 I 0.5000 0.5000 0.5000
```

Properties
Total magnetization: 0.349 μB/atom
E_form (uncorrected): 310 meV per atom